No. 1
BaCaZn2Pd2, relaxed, DFT PBE; DFT formation energy = -0.561 eV per atom
1.0
4.496 0.000 0.000
-2.248 3.893 0.000
0.000 0.000 8.280
Ba Ca Zn Pd
1 1 2 2
Direct
0.000 0.000 0.000 Ba
0.000 0.000 0.500 Ca
0.667 0.333 0.707 Zn
0.333 0.667 0.293 Zn
0.667 0.333 0.289 Pd
0.333 0.667 0.711 Pd

---

No. 2
BaCaZnPd, relaxed, DFT PBE; DFT formation energy = -0.439 eV per atom
1.0
-2.770 1.202 3.309
-1.224 -3.188 -2.899
5.378 -5.081 3.313
Ba Ca Zn Pd
1 1 1 1
Direct
0.358 0.044 0.402 Ba
0.011 0.870 0.881 Ca
0.829 0.279 0.108 Zn
0.494 0.612 0.106 Pd

---

No. 3
BaCaZrPd2, relaxed, DFT PBE; DFT formation energy = 0.335 eV per atom
1.0
-0.643 1.314 4.921
-0.016 -5.592 1.491
5.093 0.152 0.625
Zr Ca Ba Pd
1 1 1 2
Direct
0.000 0.000 0.000 Zr
0.500 0.500 0.500 Ca
0.000 0.500 0.000 Ba
0.000 0.000 0.500 Pd
0.500 0.000 0.000 Pd

---

No. 4
Ba2CaPm, relaxed, DFT PBE; DFT formation energy = 0.298 eV per atom
1.0
-2.869 -0.369 2.642
-0.235 -3.234 2.198
7.241 4.883 11.449
Ca Ba Pm
1 2 1
Direct
0.500 0.500 0.500 Ca
0.085 0.085 0.744 Ba
0.915 0.915 0.256 Ba
0.000 0.000 0.000 Pm